DFT (GGA-PBE) results for Cu3Pt4 after structural relaxation.

Computed properties:
M_tot	0.0	μB per formula unit
electronic total energy	-5.33	eV per atom
space-group type	P-1, No. 2

Cell lengths 4.713, 3.885, 7.165 Å; angles 74.20, 56.47, 65.69 degrees
Fractional positions:
Pt  0.409  0.429  0.733
Pt  0.865  0.857  0.423
Pt  0.135  0.143  0.577
Pt  0.591  0.571  0.267
Cu  0.704  0.717  0.860
Cu  0.296  0.283  0.140
Cu  0.000  0.000  0.000